Record 1
Compound: Mg2ReSe
Source: Alexandria via LeMat-Bulk
Functional: PBEsol
Structure: relaxed

abc: 3.397 3.393 5.763
angles: 90.00 90.00 90.00
Fractional positions:
1 Mg 0.000 0.000 0.760
2 Mg 0.000 0.000 0.240
3 Re 0.500 0.500 0.000
4 Se 0.500 0.500 0.500

=====

Record 2
Compound: Mg2ReSe
Source: Alexandria via LeMat-Bulk
Functional: PBEsol
Structure: relaxed

abc: 5.267 5.881 5.881
angles: 78.43 63.40 63.40
Fractional positions:
1 Re 0.000 0.000 0.000
2 Re 0.750 0.500 0.500
3 Mg 0.605 0.020 0.520
4 Mg 0.145 0.980 0.480
5 Mg 0.375 0.480 0.020
6 Mg 0.875 0.520 0.980
7 Se 0.500 0.000 0.000
8 Se 0.250 0.500 0.500

=====

Record 3
Compound: Mg2ReSe
Source: Alexandria via LeMat-Bulk
Functional: PBEsol
Structure: relaxed

abc: 3.958 3.958 5.133
angles: 112.68 112.68 90.00
Fractional positions:
1 Mg 0.000 0.000 0.000
2 Mg 0.750 0.250 0.500
3 Re 0.500 0.500 0.000
4 Se 0.250 0.750 0.500

=====

Record 4
Compound: MgReSe2
Source: Alexandria via LeMat-Bulk
Functional: PBEsol
Structure: relaxed

abc: 3.126 3.126 6.972
angles: 90.00 90.00 90.00
Fractional positions:
1 Mg 0.500 0.500 0.000
2 Re 0.500 0.500 0.500
3 Se 0.000 0.000 0.720
4 Se 0.000 0.000 0.280

=====

Record 5
Compound: MgReSe2
Source: Alexandria via LeMat-Bulk
Functional: PBEsol
Structure: relaxed

abc: 3.153 4.563 6.132
angles: 68.66 75.10 69.79
Fractional positions:
1 Mg 0.437 0.637 0.489
2 Re 0.761 0.559 0.919
3 Se 0.074 0.013 0.840
4 Se 0.228 0.291 0.252

=====

Record 6
Compound: Mg2ReSe
Source: Alexandria via LeMat-Bulk
Functional: PBEsol
Structure: relaxed

abc: 4.562 4.562 4.562
angles: 60.00 60.00 60.00
Fractional positions:
1 Mg 0.000 0.000 0.000
2 Mg 0.250 0.250 0.250
3 Re 0.500 0.500 0.500
4 Se 0.750 0.750 0.750

=====

no.,VASP energy (eV per formula unit),uncorrected formation energy (eV/atom)
1,-19.91,0.18
2,-18.16,0.61
3,-19.11,0.38
4,-22.46,0.07
5,-23.44,-0.17
6,-18.58,0.51